Entry 1:
VASP calculation (PBE) on crystalline TbZr3C at its relaxed geometry.

```
data_TbZr3C
_chemical_formula_sum 'Tb1 Zr3 C1'
_symmetry_space_group_name_H-M 'P 1'
_symmetry_Int_Tables_number 1
_cell_length_a 4.715
_cell_length_b 4.715
_cell_length_c 4.715
_cell_angle_alpha 90.00
_cell_angle_beta 90.00
_cell_angle_gamma 90.00
loop_
_symmetry_equiv_pos_as_xyz
'x,y,z'
loop_
_atom_site_label
_atom_site_type_symbol
_atom_site_fract_x
_atom_site_fract_y
_atom_site_fract_z
C1 C 0.000 0.000 0.000
Tb1 Tb 0.500 0.500 0.500
Zr1 Zr 0.000 0.500 0.000
Zr2 Zr 0.000 0.000 0.500
Zr3 Zr 0.500 0.000 0.000
```

Calculated values
total magnetic moment: 0.0 Bohr magnetons per cell
total energy: -40.23 eV/cell

---

Entry 2:
VASP calculation (PBE) on crystalline TbZrC at its relaxed geometry.

```
data_TbZrC
_chemical_formula_sum 'Tb2 Zr2 C2'
_symmetry_space_group_name_H-M 'P 1'
_symmetry_Int_Tables_number 1
_cell_length_a 3.445
_cell_length_b 3.445
_cell_length_c 11.760
_cell_angle_alpha 90.00
_cell_angle_beta 90.00
_cell_angle_gamma 120.00
loop_
_symmetry_equiv_pos_as_xyz
'x,y,z'
loop_
_atom_site_label
_atom_site_type_symbol
_atom_site_fract_x
_atom_site_fract_y
_atom_site_fract_z
C1 C 0.667 0.333 0.222
C2 C 0.333 0.667 0.778
Tb1 Tb 0.000 0.000 0.346
Tb2 Tb 0.000 0.000 0.654
Zr1 Zr 0.667 0.333 0.877
Zr2 Zr 0.333 0.667 0.123
```

Calculated values
total magnetic moment: 0.0 Bohr magnetons per cell
total energy: -47.11 eV/cell

---

Entry 3:
VASP calculation (PBE) on crystalline TbZrC at its relaxed geometry.

```
data_TbZrC
_chemical_formula_sum 'Tb1 Zr1 C1'
_symmetry_space_group_name_H-M 'P 1'
_symmetry_Int_Tables_number 1
_cell_length_a 5.871
_cell_length_b 3.448
_cell_length_c 3.448
_cell_angle_alpha 120.00
_cell_angle_beta 90.00
_cell_angle_gamma 90.00
loop_
_symmetry_equiv_pos_as_xyz
'x,y,z'
loop_
_atom_site_label
_atom_site_type_symbol
_atom_site_fract_x
_atom_site_fract_y
_atom_site_fract_z
C1 C 0.311 0.333 0.667
Tb1 Tb 0.569 0.667 0.333
Zr1 Zr 0.120 0.000 0.000
```

Calculated values
total magnetic moment: 0.4 Bohr magnetons per cell
total energy: -23.47 eV/cell

---

Entry 4:
VASP calculation (PBE) on crystalline TcC2 at its relaxed geometry.

```
data_TcC2
_chemical_formula_sum 'Tc2 C4'
_symmetry_space_group_name_H-M 'P 1'
_symmetry_Int_Tables_number 1
_cell_length_a 5.007
_cell_length_b 5.007
_cell_length_c 2.847
_cell_angle_alpha 90.00
_cell_angle_beta 90.00
_cell_angle_gamma 90.00
loop_
_symmetry_equiv_pos_as_xyz
'x,y,z'
loop_
_atom_site_label
_atom_site_type_symbol
_atom_site_fract_x
_atom_site_fract_y
_atom_site_fract_z
Tc1 Tc 0.500 0.500 0.000
Tc2 Tc 0.000 0.000 0.500
C1 C 0.789 0.789 0.000
C2 C 0.211 0.211 0.000
C3 C 0.289 0.711 0.500
C4 C 0.711 0.289 0.500
```

Calculated values
total magnetic moment: 0.0 Bohr magnetons per cell
total energy: -48.17 eV/cell

---

Entry 5:
VASP calculation (PBE) on crystalline Tc3C at its relaxed geometry.

```
data_Tc3C
_chemical_formula_sum 'Tc6 C2'
_symmetry_space_group_name_H-M 'P 1'
_symmetry_Int_Tables_number 1
_cell_length_a 8.761
_cell_length_b 8.761
_cell_length_c 8.761
_cell_angle_alpha 156.70
_cell_angle_beta 156.70
_cell_angle_gamma 33.18
loop_
_symmetry_equiv_pos_as_xyz
'x,y,z'
loop_
_atom_site_label
_atom_site_type_symbol
_atom_site_fract_x
_atom_site_fract_y
_atom_site_fract_z
Tc1 Tc 0.000 0.500 0.500
Tc2 Tc 0.500 0.000 0.500
Tc3 Tc 0.750 0.250 0.500
Tc4 Tc 0.250 0.750 0.500
Tc5 Tc 0.872 0.872 0.000
Tc6 Tc 0.128 0.128 0.000
C1 C 0.583 0.583 0.000
C2 C 0.417 0.417 0.000
```

Calculated values
total magnetic moment: 0.0 Bohr magnetons per cell
total energy: -72.97 eV/cell

---

Entry 6:
VASP calculation (PBE) on crystalline TcC3 at its relaxed geometry.

```
data_TcC3
_chemical_formula_sum 'Tc2 C6'
_symmetry_space_group_name_H-M 'P 1'
_symmetry_Int_Tables_number 1
_cell_length_a 6.423
_cell_length_b 6.423
_cell_length_c 2.591
_cell_angle_alpha 90.00
_cell_angle_beta 90.00
_cell_angle_gamma 96.11
loop_
_symmetry_equiv_pos_as_xyz
'x,y,z'
loop_
_atom_site_label
_atom_site_type_symbol
_atom_site_fract_x
_atom_site_fract_y
_atom_site_fract_z
Tc1 Tc 0.373 0.627 0.250
Tc2 Tc 0.627 0.373 0.750
C1 C 0.955 0.045 0.750
C2 C 0.045 0.955 0.250
C3 C 0.736 0.098 0.750
C4 C 0.264 0.902 0.250
C5 C 0.902 0.264 0.750
C6 C 0.098 0.736 0.250
```

Calculated values
total magnetic moment: 0.0 Bohr magnetons per cell
total energy: -61.59 eV/cell

---

Entry 7:
VASP calculation (PBE) on crystalline TcC2 at its relaxed geometry.

```
data_TcC2
_chemical_formula_sum 'Tc2 C4'
_symmetry_space_group_name_H-M 'P 1'
_symmetry_Int_Tables_number 1
_cell_length_a 2.867
_cell_length_b 2.867
_cell_length_c 8.194
_cell_angle_alpha 90.00
_cell_angle_beta 90.00
_cell_angle_gamma 120.00
loop_
_symmetry_equiv_pos_as_xyz
'x,y,z'
loop_
_atom_site_label
_atom_site_type_symbol
_atom_site_fract_x
_atom_site_fract_y
_atom_site_fract_z
Tc1 Tc 0.000 0.000 0.000
Tc2 Tc 0.000 0.000 0.500
C1 C 0.333 0.667 0.834
C2 C 0.667 0.333 0.334
C3 C 0.333 0.667 0.666
C4 C 0.667 0.333 0.166
```

Calculated values
total magnetic moment: 0.0 Bohr magnetons per cell
total energy: -53.80 eV/cell

---

Entry 8:
VASP calculation (PBE) on crystalline TcC at its relaxed geometry.

```
data_TcC
_chemical_formula_sum 'Tc8 C8'
_symmetry_space_group_name_H-M 'P 1'
_symmetry_Int_Tables_number 1
_cell_length_a 5.294
_cell_length_b 5.073
_cell_length_c 7.163
_cell_angle_alpha 90.00
_cell_angle_beta 90.00
_cell_angle_gamma 90.00
loop_
_symmetry_equiv_pos_as_xyz
'x,y,z'
loop_
_atom_site_label
_atom_site_type_symbol
_atom_site_fract_x
_atom_site_fract_y
_atom_site_fract_z
Tc1 Tc 0.626 0.126 0.066
Tc2 Tc 0.126 0.374 0.934
Tc3 Tc 0.374 0.626 0.434
Tc4 Tc 0.874 0.874 0.566
Tc5 Tc 0.358 0.871 0.783
Tc6 Tc 0.858 0.629 0.217
Tc7 Tc 0.642 0.371 0.717
Tc8 Tc 0.142 0.129 0.283
C1 C 0.245 0.015 0.027
C2 C 0.745 0.485 0.973
C3 C 0.755 0.515 0.473
C4 C 0.255 0.985 0.527
C5 C 0.280 0.494 0.693
C6 C 0.780 0.006 0.307
C7 C 0.720 0.994 0.807
C8 C 0.220 0.506 0.193
```

Calculated values
total magnetic moment: 0.0 Bohr magnetons per cell
total energy: -147.62 eV/cell

---

- The lowest total energy belongs to which entry?
  TcC

---

- total magnetic moment of number 6 (TcC3)?
  0.0 Bohr magnetons per cell

---

- Look up the total energy of the fifth one.
  -72.97 eV/cell

---

- total energy of number 3 (TbZrC)?
  -23.47 eV/cell